1.
{
  "formula": "Hf3Zr3In",
  "functional": "PBE",
  "state": "optimized geometry",
  "lattice": [[5.1528, 0.0000, 0.0000], [0.0000, 7.3050, -4.2175], [0.0000, 0.0000, 8.4350]],
  "species": ["Hf", "Hf", "Hf", "Hf", "Hf", "Hf", "Zr", "Zr", "Zr", "Zr", "Zr", "Zr", "In", "In"],
  "fractional_positions": [[0.2500, 0.0618, 0.8210], [0.2500, 0.1790, 0.2407], [0.2500, 0.7593, 0.9382], [0.7500, 0.8210, 0.7593], [0.7500, 0.9382, 0.1790], [0.7500, 0.2407, 0.0618], [0.2500, 0.9015, 0.3782], [0.2500, 0.6218, 0.5233], [0.7500, 0.3782, 0.4767], [0.2500, 0.4767, 0.0985], [0.7500, 0.0985, 0.6218], [0.7500, 0.5233, 0.9015], [0.7500, 0.6667, 0.3333], [0.2500, 0.3333, 0.6667]],
  "magmom_total_mub_per_atom": 0.000,
  "volume_a3_per_atom": 22.679,
  "de_polymorph_ev_per_fu": 0.00,
  "delta_e_f_mev_per_atom": -71,
  "density_g_cm3": 9.66,
  "n_ef_per_ev_cell": 14.5
}

---

2.
{
  "formula": "HfZrIn2",
  "functional": "PBE",
  "state": "optimized geometry",
  "lattice": [[7.9566, 0.0000, 0.0000], [0.0000, 7.9566, 0.0000], [3.9783, 3.9783, 3.0273]],
  "species": ["Hf", "Hf", "In", "In", "In", "In", "Zr", "Zr"],
  "fractional_positions": [[0.7500, 0.2500, 0.5000], [0.0000, 0.0000, 0.0000], [0.6270, 0.1250, 0.2500], [0.8750, 0.8770, 0.7500], [0.1230, 0.6250, 0.2500], [0.3750, 0.3730, 0.7500], [0.2500, 0.7500, 0.5000], [0.5000, 0.5000, 0.0000]],
  "magmom_total_mub_per_atom": 0.000,
  "volume_a3_per_atom": 23.957,
  "de_polymorph_ev_per_fu": 1.54,
  "delta_e_f_mev_per_atom": 144,
  "density_g_cm3": 8.65,
  "n_ef_per_ev_cell": 6.3
}

---

Number 1: uncorrected energy -0.6168 Ry per atom. Number 2: uncorrected energy -0.4300 Ry per atom.